Density functional theory data (PBE-GGA) for an optimized crystal structure of AcGdHoMg.

Summary:
Magnetic moment, μB/f.u.: 7.74
Crystal system: cubic
E_form, meV/atom: 45

a b c (Å): 8.0736 8.0736 8.0736
angles (deg): 90.00 90.00 90.00
With the nearest neighbours (Å) after each atom.
Space group F-43m (No. 216)
Asymmetric unit:
1 Ac 0.0000 0.0000 0.0000 [4 per cell]  4 Mg 3.50, 4 Ho 3.50
2 Gd 0.0000 0.0000 0.5000 [4 per cell]  4 Ho 3.50, 4 Mg 3.50
3 Ho 0.2500 0.2500 0.2500 [4 per cell]  4 Gd 3.50, 4 Ac 3.50
4 Mg 0.2500 0.2500 0.7500 [4 per cell]  4 Gd 3.50, 4 Ac 3.50

=====

Density functional theory data (PBE-GGA) for an optimized crystal structure of Cs2CeSmO4.

Summary:
Magnetic moment, μB/f.u.: 0.78
Crystal system: monoclinic

a b c (Å): 6.3558 3.6765 7.2739
angles (deg): 90.00 106.92 90.00
With the nearest neighbours (Å) after each atom.
Space group P2/m (No. 10)
Asymmetric unit:
1 Cs 0.0000 0.0000 0.0000 [1 per cell]  6 O 3.16
2 Cs 0.5000 0.5000 0.0000 [1 per cell]  6 O 3.17
3 Ce 0.0000 0.5000 0.5000 [1 per cell]  6 O 2.39-2.40
4 Sm 0.5000 0.0000 0.5000 [1 per cell]  6 O 2.41
5 O 0.2199 0.0000 0.6627 [2 per cell]  2 Ce 2.40, 1 Sm 2.41
6 O 0.2774 0.5000 0.3374 [2 per cell]  1 Ce 2.39, 2 Sm 2.41

=====

Uncorrected energy values (in eV per cell) by entry order: -96.72; -52.48.